Below is a relaxed structure of SiTc2Te, with properties calculated at the PBE-GGA level.

Computed properties:
* space group: P4mm
* formation energy (no corrections): 9.8 kJ/mol of atoms

Cell lengths 3.3038, 3.3038, 6.0748 Å; angles 90.00, 90.00, 90.00 degrees
Positions (direct):
Te 0.0000 0.0000 0.4798
Si 0.5000 0.5000 0.8231
Tc 0.5000 0.5000 0.2669
Tc 0.0000 0.0000 0.9303

---

Below is a relaxed structure of Ta2RePt, with properties calculated at the PBE-GGA level.

Computed properties:
* ΔE_f: -0.339 eV/atom
* space group: Cmmm

Cell lengths 2.8081, 2.8081, 8.6984 Å; angles 90.00, 90.00, 105.50 degrees
Positions (direct):
Pt 0.5000 0.5000 0.2500
Ta 0.0000 0.0000 0.0004
Ta 0.0000 0.0000 0.4996
Re 0.5000 0.5000 0.7500

---

Below is a relaxed structure of TiPN3, with properties calculated at the PBE-GGA level.

Computed properties:
* space group: C2/c
* formation energy (no corrections): -78.3 kJ/mol of atoms

Cell lengths 9.7269, 6.4145, 6.4145 Å; angles 94.44, 129.39, 50.61 degrees
Positions (direct):
N 0.1314 0.2544 0.2784
N 0.0924 0.6181 0.5117
N 0.5924 0.9883 0.8819
N 0.6314 0.2216 0.2456
N 0.9076 0.3819 0.4883
N 0.3686 0.7784 0.7544
N 0.3613 0.4233 0.3866
N 0.1387 0.8866 0.9233
N 0.6387 0.5767 0.6134
N 0.8686 0.7456 0.7216
N 0.4076 0.0117 0.1181
N 0.8613 0.1134 0.0767
P 0.2056 0.0077 0.8193
P 0.2944 0.3193 0.5077
P 0.7944 0.9923 0.1807
P 0.7056 0.6807 0.4923
Ti 0.7500 0.1459 0.6459
Ti 0.2500 0.4676 0.9676
Ti 0.7500 0.5324 0.0324
Ti 0.2500 0.8541 0.3541

---

Below is a relaxed structure of InAg2Hg2, with properties calculated at the PBE-GGA level.

Computed properties:
* ΔE_f: 0.104 eV/atom
* space group: I4/mmm

Cell lengths 4.0548, 4.0548, 7.7532 Å; angles 74.84, 74.84, 90.00 degrees
Positions (direct):
Hg 0.3974 0.3974 0.2051
Hg 0.6026 0.6026 0.7949
Ag 0.2500 0.7500 0.5000
Ag 0.7500 0.2500 0.5000
In 0.0000 0.0000 0.0000

---

Below is a relaxed structure of ScMoAu2, with properties calculated at the PBE-GGA level.

Computed properties:
* ΔE_f: -0.089 eV/atom
* space group: P4mm

Cell lengths 2.8999, 2.8999, 8.6011 Å; angles 90.00, 90.00, 90.01 degrees
Positions (direct):
Au 0.0000 0.0000 0.9958
Au 0.5000 0.5000 0.2613
Sc 0.5000 0.5000 0.7488
Mo 0.0000 0.0000 0.4941

---

Below is a relaxed structure of CePuMnAg, with properties calculated at the PBE-GGA level.

Computed properties:
* ΔE_f: 0.224 eV/atom
* space group: F-43m

Cell lengths 4.8799, 4.8799, 4.8799 Å; angles 60.00, 60.00, 60.00 degrees
Site moments in Bohr magnetons follow the coordinates.
Positions (direct):
Mn 0.7500 0.7500 0.7500  3.08
Ag 0.5000 0.5000 0.5000  -0.01
Ce 0.2500 0.2500 0.2500  0.38
Pu 0.0000 0.0000 0.0000  5.16

---

Below is a relaxed structure of Ac6PrPd4, with properties calculated at the PBE-GGA level.

Computed properties:
* ΔE_f: -0.461 eV/atom
* space group: Cm

Cell lengths 6.4266, 6.4266, 9.9048 Å; angles 106.85, 106.84, 95.95 degrees
Positions (direct):
Ac 0.0106 0.5137 0.0259
Ac 0.9212 0.9212 0.3605
Ac 0.0950 0.5504 0.6455
Ac 0.5137 0.0106 0.0259
Ac 0.5504 0.0950 0.6455
Ac 0.4398 0.4398 0.3595
Pd 0.6145 0.6145 0.7038
Pd 0.0896 0.0896 0.7039
Pd 0.9097 0.3816 0.2909
Pd 0.3816 0.9097 0.2909
Pr 0.9740 0.9740 0.9473

---

Below is a relaxed structure of Sr3PtPb3, with properties calculated at the PBE-GGA level.

Computed properties:
* ΔE_f: -0.597 eV/atom
* space group: C2/m

Cell lengths 4.8882, 6.4785, 15.6283 Å; angles 84.60, 81.00, 67.84 degrees
Positions (direct):
Sr 0.2588 0.2409 0.2416
Sr 0.7412 0.7591 0.7584
Sr 0.5968 0.7255 0.0810
Sr 0.4032 0.2745 0.9190
Sr 0.5278 0.3300 0.6145
Sr 0.4722 0.6700 0.3855
Pb 0.8476 0.7694 0.5355
Pb 0.1182 0.8418 0.9218
Pb 0.1524 0.2306 0.4645
Pb 0.8818 0.1582 0.0782
Pb 0.9674 0.8252 0.2400
Pb 0.0326 0.1748 0.7600
Pt 0.2455 0.8964 0.6126
Pt 0.7545 0.1036 0.3874